# NaAgTe2WSe, optimized geometry, DFT GGA-PBE
# * uncorrected energy: -4.524 eV/atom
data_NaAgTe2WSe
_symmetry_space_group_name_H-M 'P 1'
_symmetry_Int_Tables_number 1
_symmetry_space_group_name_Hall 'P 1'
_cell_length_a 7.5065
_cell_length_b 7.5065
_cell_length_c 10.3974
_cell_angle_alpha 90.00
_cell_angle_beta 90.00
_cell_angle_gamma 149.82
loop_
_atom_site_label
_atom_site_fract_x
_atom_site_fract_y
_atom_site_fract_z
Te1 0.6387 0.3613 0.4810
Te2 0.3613 0.6387 0.9810
Na1 0.7526 0.2474 0.7500
Ag1 0.4451 0.5549 0.7500
W1 0.0000 0.0000 0.0000
Se1 0.0680 0.9320 0.7500
W2 0.0000 0.0000 0.5000
Ag2 0.5549 0.4451 0.2500
Na2 0.2474 0.7526 0.2500
Te3 0.3613 0.6387 0.5190
Te4 0.6387 0.3613 0.0190
Se2 0.9320 0.0680 0.2500

# NaThAgSe3, optimized geometry, DFT GGA-PBE
# * uncorrected energy: -4.889 eV/atom
data_NaThAgSe3
_symmetry_space_group_name_H-M 'P 1'
_symmetry_Int_Tables_number 1
_symmetry_space_group_name_Hall 'P 1'
_cell_length_a 7.1369
_cell_length_b 7.1369
_cell_length_c 10.9912
_cell_angle_alpha 90.00
_cell_angle_beta 90.00
_cell_angle_gamma 145.43
loop_
_atom_site_label
_atom_site_fract_x
_atom_site_fract_y
_atom_site_fract_z
Th1 0.0000 0.0000 0.0000
Se1 0.6406 0.3594 0.0582
Ag1 0.4728 0.5272 0.7500
Se2 0.3594 0.6406 0.9418
Na1 0.2470 0.7530 0.2500
Se3 0.0914 0.9086 0.7500
Se4 0.3594 0.6406 0.5582
Se5 0.6406 0.3594 0.4418
Th2 0.0000 0.0000 0.5000
Na2 0.7530 0.2470 0.7500
Ag2 0.5272 0.4728 0.2500
Se6 0.9086 0.0914 0.2500

# NaTmAgSe3, optimized geometry, DFT GGA-PBE
# * uncorrected energy: -4.204 eV/atom
data_NaTmAgSe3
_symmetry_space_group_name_H-M 'P 1'
_symmetry_Int_Tables_number 1
_symmetry_space_group_name_Hall 'P 1'
_cell_length_a 10.6693
_cell_length_b 3.9961
_cell_length_c 13.8245
_cell_angle_alpha 90.00
_cell_angle_beta 90.00
_cell_angle_gamma 90.00
loop_
_atom_site_label
_atom_site_fract_x
_atom_site_fract_y
_atom_site_fract_z
Ag1 0.7339 0.2500 0.2825
Se1 0.0316 0.2500 0.1141
Se2 0.7320 0.7500 0.1595
Se3 0.2680 0.2500 0.8405
Se4 0.7680 0.2500 0.6595
Na1 0.2775 0.2500 0.5109
Ag2 0.7661 0.7500 0.7825
Na2 0.2225 0.7500 0.0109
Se5 0.5316 0.2500 0.3859
Se6 0.9684 0.7500 0.8859
Na3 0.7225 0.7500 0.4891
Se7 0.4684 0.7500 0.6141
Se8 0.0722 0.7500 0.6058
Se9 0.2320 0.7500 0.3405
Se10 0.4278 0.2500 0.1058
Ag3 0.2339 0.2500 0.2175
Tm1 0.0183 0.2500 0.7452
Na4 0.7775 0.2500 0.9891
Tm2 0.4817 0.7500 0.2452
Se11 0.9278 0.2500 0.3942
Tm3 0.9817 0.7500 0.2548
Se12 0.5722 0.7500 0.8942
Ag4 0.2661 0.7500 0.7175
Tm4 0.5183 0.2500 0.7548

# NaTmAgSe3, optimized geometry, DFT GGA-PBE
# * uncorrected energy: -4.204 eV/atom
data_NaTmAgSe3
_symmetry_space_group_name_H-M 'P 1'
_symmetry_Int_Tables_number 1
_symmetry_space_group_name_Hall 'P 1'
_cell_length_a 7.3489
_cell_length_b 7.3489
_cell_length_c 10.5569
_cell_angle_alpha 90.00
_cell_angle_beta 90.00
_cell_angle_gamma 148.70
loop_
_atom_site_label
_atom_site_fract_x
_atom_site_fract_y
_atom_site_fract_z
Tm1 0.0000 0.0000 0.5000
Se1 0.0895 0.9105 0.7500
Ag1 0.4670 0.5330 0.7500
Se2 0.9105 0.0895 0.2500
Se3 0.6389 0.3611 0.0509
Se4 0.3611 0.6389 0.9491
Na1 0.7616 0.2384 0.7500
Se5 0.3611 0.6389 0.5509
Na2 0.2384 0.7616 0.2500
Ag2 0.5330 0.4670 0.2500
Tm2 0.0000 0.0000 0.0000
Se6 0.6389 0.3611 0.4491

# NaAgWSe3, optimized geometry, DFT GGA-PBE
# * uncorrected energy: -4.808 eV/atom
data_NaAgWSe3
_symmetry_space_group_name_H-M 'P 1'
_symmetry_Int_Tables_number 1
_symmetry_space_group_name_Hall 'P 1'
_cell_length_a 7.2776
_cell_length_b 7.2776
_cell_length_c 10.1722
_cell_angle_alpha 90.00
_cell_angle_beta 90.00
_cell_angle_gamma 28.53
loop_
_atom_site_label
_atom_site_fract_x
_atom_site_fract_y
_atom_site_fract_z
Se1 0.3658 0.3658 0.5210
Se2 0.9252 0.9252 0.2500
Se3 0.6342 0.6342 0.0210
Ag1 0.4350 0.4350 0.7500
Na1 0.2508 0.2508 0.2500
Na2 0.7492 0.7492 0.7500
Se4 0.0748 0.0748 0.7500
W1 0.0000 0.0000 0.5000
Se5 0.6342 0.6342 0.4790
Se6 0.3658 0.3658 0.9790
Ag2 0.5650 0.5650 0.2500
W2 0.0000 0.0000 0.0000

# NaZrAgSe3, optimized geometry, DFT GGA-PBE
# * energy relative to the lowest polymorph listed for this composition: 0.003 eV/atom
data_NaZrAgSe3
_symmetry_space_group_name_H-M 'P 1'
_symmetry_Int_Tables_number 1
_symmetry_space_group_name_Hall 'P 1'
_cell_length_a 7.7638
_cell_length_b 3.9029
_cell_length_c 9.8108
_cell_angle_alpha 90.00
_cell_angle_beta 106.79
_cell_angle_gamma 90.00
loop_
_atom_site_label
_atom_site_fract_x
_atom_site_fract_y
_atom_site_fract_z
Na1 0.2605 0.2500 0.8005
Ag1 0.9258 0.7500 0.8962
Ag2 0.0742 0.2500 0.1038
Na2 0.7395 0.7500 0.1995
Se1 0.7083 0.2500 0.9441
Se2 0.5701 0.2500 0.3680
Se3 0.2917 0.7500 0.0559
Zr1 0.6896 0.2500 0.6659
Se4 0.0813 0.2500 0.3677
Se5 0.9187 0.7500 0.6323
Zr2 0.3104 0.7500 0.3341
Se6 0.4299 0.7500 0.6320

# NaZrAgSe3, optimized geometry, DFT GGA-PBE
# * energy relative to the lowest polymorph listed for this composition: 0.030 eV/atom
data_NaZrAgSe3
_symmetry_space_group_name_H-M 'P 1'
_symmetry_Int_Tables_number 1
_symmetry_space_group_name_Hall 'P 1'
_cell_length_a 10.9421
_cell_length_b 3.8623
_cell_length_c 13.6216
_cell_angle_alpha 90.00
_cell_angle_beta 90.00
_cell_angle_gamma 90.00
loop_
_atom_site_label
_atom_site_fract_x
_atom_site_fract_y
_atom_site_fract_z
Se1 0.5730 0.7500 0.3940
Na1 0.2123 0.7500 0.5152
Zr1 0.9901 0.2500 0.2282
Se2 0.0241 0.2500 0.6287
Na2 0.2877 0.2500 0.0152
Na3 0.7123 0.7500 0.9848
Se3 0.7220 0.7500 0.6480
Se4 0.2220 0.7500 0.8520
Zr2 0.0099 0.7500 0.7718
Se5 0.7780 0.2500 0.1480
Na4 0.7877 0.2500 0.4848
Se6 0.4270 0.2500 0.6060
Zr3 0.4901 0.2500 0.2718
Se7 0.9270 0.2500 0.8940
Se8 0.2780 0.2500 0.3520
Ag1 0.2624 0.7500 0.2176
Ag2 0.7376 0.2500 0.7824
Se9 0.9759 0.7500 0.3713
Ag3 0.7624 0.7500 0.2824
Se10 0.0730 0.7500 0.1060
Se11 0.4759 0.7500 0.1287
Ag4 0.2376 0.2500 0.7176
Zr4 0.5099 0.7500 0.7282
Se12 0.5241 0.2500 0.8713

# NaZrAgSe3, optimized geometry, DFT GGA-PBE
# * energy relative to the lowest polymorph listed for this composition: 0.075 eV/atom
data_NaZrAgSe3
_symmetry_space_group_name_H-M 'P 1'
_symmetry_Int_Tables_number 1
_symmetry_space_group_name_Hall 'P 1'
_cell_length_a 8.8631
_cell_length_b 8.8631
_cell_length_c 8.8048
_cell_angle_alpha 101.94
_cell_angle_beta 101.94
_cell_angle_gamma 25.03
loop_
_atom_site_label
_atom_site_fract_x
_atom_site_fract_y
_atom_site_fract_z
Ag1 0.4605 0.4605 0.7694
Se1 0.3292 0.3292 0.1259
Ag2 0.5395 0.5395 0.2306
Se2 0.5000 0.5000 0.5000
Zr1 0.8332 0.8332 0.9090
Na1 0.1245 0.1245 0.5739
Zr2 0.1668 0.1668 0.0910
Na2 0.8755 0.8755 0.4261
Se3 0.6943 0.6943 0.3126
Se4 0.0000 0.0000 0.0000
Se5 0.3057 0.3057 0.6874
Se6 0.6708 0.6708 0.8741